Record 1
TaAgAu4: relaxed, PBE-GGA.

a = 5.418 Å, b = 5.418 Å, c = 5.418 Å
α = 60.00°, β = 60.00°, γ = 60.00°
Fractional positions:
1 Ta 0.000 0.000 0.000
2 Ag 0.750 0.750 0.750
3 Au 0.375 0.375 0.375
4 Au 0.375 0.375 0.875
5 Au 0.375 0.875 0.375
6 Au 0.875 0.375 0.375

Summary:
- E above lowest polymorph: 0.412 eV per atom
- Symmetry: No. 216
- DFT total energy: -25.6 eV per cell
- Spin magnetization: 0.0 μB per cell
- ΔH_f (0 K): 363 meV/atom

---

Record 2
AcTbPm5Tm2: relaxed, PBE-GGA.

a = 9.217 Å, b = 9.217 Å, c = 12.159 Å
α = 90.00°, β = 90.00°, γ = 143.36°
Fractional positions:
1 Ac 0.114 0.886 0.500
2 Ac 0.886 0.114 0.000
3 Tb 0.248 0.752 0.000
4 Tb 0.752 0.248 0.500
5 Pm 0.078 0.922 0.842
6 Pm 0.081 0.919 0.165
7 Pm 0.268 0.732 0.296
8 Pm 0.270 0.730 0.705
9 Pm 0.440 0.560 0.148
10 Pm 0.560 0.440 0.648
11 Pm 0.730 0.270 0.205
12 Pm 0.732 0.268 0.796
13 Pm 0.919 0.081 0.665
14 Pm 0.922 0.078 0.342
15 Tm 0.389 0.611 0.499
16 Tm 0.438 0.562 0.854
17 Tm 0.562 0.438 0.354
18 Tm 0.611 0.389 0.999

Summary:
- Symmetry: No. 36
- DFT total energy: -81.3 eV per cell
- Spin magnetization: 0.0 μB per cell
- ΔH_f (0 K): 84 meV/atom

---

Record 3
TbHoCu10: relaxed, PBE-GGA.

a = 4.101 Å, b = 5.049 Å, c = 8.669 Å
α = 90.00°, β = 90.00°, γ = 90.00°
Fractional positions:
1 Tb 0.000 0.000 0.000
2 Ho 0.000 0.500 0.500
3 Cu 0.000 0.000 0.334
4 Cu 0.000 0.000 0.666
5 Cu 0.000 0.500 0.167
6 Cu 0.000 0.500 0.833
7 Cu 0.500 0.000 0.500
8 Cu 0.500 0.251 0.251
9 Cu 0.500 0.251 0.749
10 Cu 0.500 0.500 0.000
11 Cu 0.500 0.749 0.251
12 Cu 0.500 0.749 0.749

Summary:
- Symmetry: No. 47
- DFT total energy: -52.5 eV per cell
- Spin magnetization: 0.0 μB per cell
- ΔH_f (0 K): -193 meV/atom

---

Record 4
PaAgGe: relaxed, PBE-GGA.

a = 4.700 Å, b = 4.700 Å, c = 4.700 Å
α = 60.00°, β = 60.00°, γ = 60.00°
Fractional positions:
1 Pa 0.000 0.000 0.000
2 Ag 0.500 0.500 0.500
3 Ge 0.750 0.750 0.750

Summary:
- E above lowest polymorph: 0.236 eV per atom
- Symmetry: No. 216
- DFT total energy: -16.6 eV per cell
- Spin magnetization: 1.7 μB per cell
- ΔH_f (0 K): 120 meV/atom

---

Record 5
Tm8C4O: relaxed, PBE-GGA.

a = 7.130 Å, b = 7.130 Å, c = 7.130 Å
α = 60.00°, β = 60.00°, γ = 60.00°
Fractional positions:
1 Tm 0.108 0.631 0.631
2 Tm 0.115 0.115 0.115
3 Tm 0.115 0.115 0.654
4 Tm 0.115 0.654 0.115
5 Tm 0.631 0.108 0.631
6 Tm 0.631 0.631 0.108
7 Tm 0.631 0.631 0.631
8 Tm 0.654 0.115 0.115
9 C 0.372 0.876 0.876
10 C 0.876 0.372 0.876
11 C 0.876 0.876 0.372
12 C 0.876 0.876 0.876
13 O 0.500 0.500 0.500

Summary:
- Symmetry: No. 216
- DFT total energy: -87.1 eV per cell
- Spin magnetization: 1.3 μB per cell
- Raw formation energy: -0.73 eV per atom

---

Record 6
TeP3O: relaxed, PBE-GGA.

a = 5.076 Å, b = 5.076 Å, c = 5.076 Å
α = 90.00°, β = 90.00°, γ = 90.00°
Fractional positions:
1 Te 0.000 0.000 0.000
2 P 0.000 0.000 0.500
3 P 0.000 0.500 0.000
4 P 0.500 0.000 0.000
5 O 0.500 0.500 0.500

Summary:
- E above lowest polymorph: 1.294 eV per atom
- Symmetry: No. 221
- DFT total energy: -14.6 eV per cell
- Spin magnetization: 0.0 μB per cell
- Raw formation energy: 1.95 eV per atom

---

Record 7
LaPmAg2Te4: relaxed, PBE-GGA.

a = 6.948 Å, b = 6.948 Å, c = 6.948 Å
α = 113.21°, β = 112.23°, γ = 103.15°
Fractional positions:
1 La 0.000 0.000 0.000
2 Pm 0.500 0.500 0.000
3 Ag 0.337 0.837 0.500
4 Ag 0.663 0.163 0.500
5 Te 0.067 0.072 0.518
6 Te 0.447 0.928 0.995
7 Te 0.553 0.549 0.482
8 Te 0.933 0.451 0.005

Summary:
- Symmetry: No. 23
- DFT total energy: -34.4 eV per cell
- Spin magnetization: 0.0 μB per cell
- Raw formation energy: -0.81 eV per atom

---

Record 8
SrSm2SnO6: relaxed, PBE-GGA.

a = 6.192 Å, b = 6.192 Å, c = 6.192 Å
α = 57.07°, β = 57.07°, γ = 57.07°
Fractional positions:
1 Sr 0.000 0.000 0.000
2 Sm 0.272 0.272 0.272
3 Sm 0.778 0.778 0.778
4 Sn 0.483 0.483 0.483
5 O 0.110 0.651 0.408
6 O 0.217 0.577 0.846
7 O 0.408 0.110 0.651
8 O 0.577 0.846 0.217
9 O 0.651 0.408 0.110
10 O 0.846 0.217 0.577

Summary:
- Symmetry: No. 146
- DFT total energy: -72.4 eV per cell
- Spin magnetization: 0.0 μB per cell
- Raw formation energy: -2.76 eV per atom

---

Record 9
ThTlGa2: relaxed, PBE-GGA.

a = 4.675 Å, b = 4.675 Å, c = 4.352 Å
α = 90.00°, β = 90.00°, γ = 90.00°
Fractional positions:
1 Th 0.000 0.000 0.000
2 Tl 0.500 0.500 0.000
3 Ga 0.000 0.500 0.500
4 Ga 0.500 0.000 0.500

Summary:
- Symmetry: No. 123
- DFT total energy: -17.2 eV per cell
- Spin magnetization: 0.0 μB per cell
- ΔH_f (0 K): -329 meV/atom

---

Record 10
Ti6Ni12Pd: relaxed, PBE-GGA.

a = 6.892 Å, b = 6.892 Å, c = 6.892 Å
α = 108.08°, β = 108.08°, γ = 108.08°
Fractional positions:
1 Ti 0.244 0.693 0.693
2 Ti 0.307 0.307 0.756
3 Ti 0.307 0.756 0.307
4 Ti 0.693 0.244 0.693
5 Ti 0.693 0.693 0.244
6 Ti 0.756 0.307 0.307
7 Ni 0.108 0.500 0.892
8 Ni 0.108 0.892 0.500
9 Ni 0.156 0.372 0.372
10 Ni 0.372 0.156 0.372
11 Ni 0.372 0.372 0.156
12 Ni 0.500 0.108 0.892
13 Ni 0.500 0.892 0.108
14 Ni 0.628 0.628 0.844
15 Ni 0.628 0.844 0.628
16 Ni 0.844 0.628 0.628
17 Ni 0.892 0.108 0.500
18 Ni 0.892 0.500 0.108
19 Pd 0.000 0.000 0.000

Summary:
- Symmetry: No. 166
- DFT total energy: -123.0 eV per cell
- Spin magnetization: 0.0 μB per cell
- ΔH_f (0 K): -55 meV/atom

---

Record 11
HgS4F: relaxed, PBE-GGA.

a = 4.722 Å, b = 5.884 Å, c = 13.083 Å
α = 78.10°, β = 88.27°, γ = 69.33°
Fractional positions:
1 Hg 0.177 0.115 0.214
2 Hg 0.823 0.885 0.786
3 S 0.293 0.166 0.488
4 S 0.372 0.044 0.877
5 S 0.390 0.308 0.942
6 S 0.394 0.393 0.560
7 S 0.606 0.607 0.440
8 S 0.610 0.692 0.058
9 S 0.628 0.956 0.123
10 S 0.707 0.834 0.512
11 F 0.234 0.758 0.720
12 F 0.766 0.242 0.280

Summary:
- Symmetry: No. 2
- DFT total energy: -40.4 eV per cell
- Spin magnetization: 0.0 μB per cell
- Raw formation energy: -0.25 eV per atom

---

Record 12
KRb2PtPb: relaxed, PBE-GGA.

a = 6.614 Å, b = 6.614 Å, c = 5.310 Å
α = 90.00°, β = 90.00°, γ = 90.00°
Fractional positions:
1 K 0.000 0.000 0.000
2 Rb 0.000 0.500 0.500
3 Rb 0.500 0.000 0.500
4 Pt 0.500 0.500 0.500
5 Pb 0.500 0.500 0.000

Summary:
- Symmetry: No. 123
- DFT total energy: -13.0 eV per cell
- Spin magnetization: 0.0 μB per cell
- ΔH_f (0 K): -49 meV/atom

---

Record 13
KCuNi2: relaxed, PBE-GGA.

a = 5.120 Å, b = 5.120 Å, c = 2.587 Å
α = 90.00°, β = 90.00°, γ = 114.79°
Fractional positions:
1 K 0.000 0.000 0.000
2 Cu 0.500 0.500 0.000
3 Ni 0.000 0.500 0.500
4 Ni 0.500 0.000 0.500

Summary:
- E above lowest polymorph: 0.555 eV per atom
- Symmetry: No. 65
- DFT total energy: -13.3 eV per cell
- Spin magnetization: 0.5 μB per cell
- ΔH_f (0 K): 852 meV/atom

---

Record 14
Ba4Cu3IO12: relaxed, PBE-GGA.

a = 7.070 Å, b = 7.070 Å, c = 7.070 Å
α = 109.47°, β = 109.47°, γ = 109.47°
Fractional positions:
1 Ba 0.000 0.000 0.500
2 Ba 0.000 0.500 0.000
3 Ba 0.500 0.000 0.000
4 Ba 0.500 0.500 0.500
5 Cu 0.000 0.500 0.500
6 Cu 0.500 0.000 0.500
7 Cu 0.500 0.500 0.000
8 I 0.000 0.000 0.000
9 O 0.000 0.235 0.235
10 O 0.000 0.765 0.765
11 O 0.235 0.000 0.235
12 O 0.235 0.235 0.000
13 O 0.250 0.500 0.750
14 O 0.250 0.750 0.500
15 O 0.500 0.250 0.750
16 O 0.500 0.750 0.250
17 O 0.750 0.250 0.500
18 O 0.750 0.500 0.250
19 O 0.765 0.000 0.765
20 O 0.765 0.765 0.000

Summary:
- Symmetry: No. 229
- DFT total energy: -108.5 eV per cell
- Spin magnetization: 1.5 μB per cell
- Raw formation energy: -1.37 eV per atom

---

Record 15
LiCa2Au: relaxed, PBE-GGA.

a = 6.040 Å, b = 6.040 Å, c = 6.040 Å
α = 136.56°, β = 136.56°, γ = 63.11°
Fractional positions:
1 Li 0.000 0.000 0.000
2 Ca 0.500 0.500 0.000
3 Ca 0.750 0.250 0.500
4 Au 0.250 0.750 0.500

Summary:
- Symmetry: No. 119
- DFT total energy: -10.4 eV per cell
- Spin magnetization: 0.0 μB per cell
- ΔH_f (0 K): -310 meV/atom

---

Record 16
Y2SbCl: relaxed, PBE-GGA.

a = 5.205 Å, b = 5.205 Å, c = 3.734 Å
α = 90.08°, β = 90.08°, γ = 89.99°
Fractional positions:
1 Y 0.000 0.500 0.000
2 Y 0.500 0.000 0.000
3 Sb 0.000 0.000 0.500
4 Cl 0.500 0.500 0.500

Summary:
- E above lowest polymorph: 0.159 eV per atom
- Symmetry: No. 12
- DFT total energy: -22.9 eV per cell
- Spin magnetization: 1.3 μB per cell
- Raw formation energy: -1.00 eV per atom